[1]
## HfCd2W (PBE)

Data for crystalline HfCd2W at its relaxed geometry.

Cell lengths 4.7807, 4.7807, 4.7807 Å; angles 60.00, 60.00, 60.00 degrees
Element x y z (fractional)
Hf (0.0000, 0.0000, 0.0000)
Cd (0.2500, 0.2500, 0.2500)
Cd (0.7500, 0.7500, 0.7500)
W (0.5000, 0.5000, 0.5000)

symmetry = No. 225
magnetic moment = 0.0 μB/f.u.
distance to the lowest polymorph of the same formula = 0 meV/atom
formation enthalpy at 0 K = 0.61 eV per atom
E = -5.571 eV/atom

***

[2]
## NaLa2MgTc (PBE)

Data for crystalline NaLa2MgTc at its relaxed geometry.

Cell lengths 5.4011, 5.4011, 5.5286 Å; angles 90.00, 90.00, 90.00 degrees
Element x y z (fractional)
Na (0.0000, 0.0000, 0.0000)
La (0.0000, 0.5000, 0.5000)
La (0.5000, 0.0000, 0.5000)
Mg (0.5000, 0.5000, 0.0000)
Tc (0.5000, 0.5000, 0.5000)

symmetry = No. 123
magnetic moment = 0.0 μB/f.u.
formation enthalpy at 0 K = 0.07 eV per atom
E = -4.559 eV/atom